Density functional theory data (PBE-GGA) for Tm4ThCd after structural relaxation.

Structure (CIF):
```
data_Tm4ThCd
_chemical_formula_sum 'Tm4 Th1 Cd1'
_symmetry_space_group_name_H-M 'P 4/m m m'
_symmetry_Int_Tables_number 123
_symmetry_space_group_name_Hall '-P 4 2'
_cell_length_a 3.531
_cell_length_b 3.531
_cell_length_c 14.025
_cell_angle_alpha 90.00
_cell_angle_beta 90.00
_cell_angle_gamma 90.00
loop_
_atom_site_label
_atom_site_type_symbol
_atom_site_fract_x
_atom_site_fract_y
_atom_site_fract_z
Tm1 Tm 0.000 0.000 0.146
Tm2 Tm 0.500 0.500 0.326
Th1 Th 0.000 0.000 0.500
Cd1 Cd 0.500 0.500 0.000
```

Output
The total moment comes out at 0.000 μB/atom. The calculation puts the energy of formation from the pure elements at -85 meV/atom. For the total energy, the calculation gives -26.731 eV per cell. The density is 9.69 g cm⁻³. As for the energy relative to the lowest polymorph listed for this composition: 0 meV per atom. The value obtained for the density of states at the Fermi level is 1.107 states/eV per atom.

Density functional theory data (PBE-GGA) for Mg3ScPt2 after structural relaxation.

Structure (CIF):
```
data_Mg3ScPt2
_chemical_formula_sum 'Mg6 Sc2 Pt4'
_symmetry_space_group_name_H-M 'P m c 21'
_symmetry_Int_Tables_number 26
_cell_length_a 4.095
_cell_length_b 8.288
_cell_length_c 6.673
_cell_angle_alpha 90.00
_cell_angle_beta 90.00
_cell_angle_gamma 90.00
loop_
_symmetry_equiv_pos_as_xyz
'x,y,z'
'-x,-y,z+1/2'
'-x,y,z'
'x,-y,z+1/2'
loop_
_atom_site_label
_atom_site_type_symbol
_atom_site_fract_x
_atom_site_fract_y
_atom_site_fract_z
Mg1 Mg 0.000 0.081 0.000
Mg2 Mg 0.000 0.302 0.398
Mg3 Mg 0.500 0.188 0.682
Sc1 Sc 0.500 0.416 0.074
Pt1 Pt 0.000 0.391 0.789
Pt2 Pt 0.500 0.123 0.282
```

Output
The total moment comes out at 0.000 μB/atom. The calculation puts the energy of formation from the pure elements at -813 meV/atom. For the total energy, the calculation gives -56.149 eV per cell. The density is 7.45 g cm⁻³. The value obtained for the density of states at the Fermi level is 0.584 states/eV per atom.

Density functional theory data (PBE-GGA) for Nd8Ge3PtI4 after structural relaxation.

Structure (CIF):
```
data_Nd8Ge3PtI4
_chemical_formula_sum 'Nd24 Ge9 Pt3 I12'
_symmetry_space_group_name_H-M 'R -3 m'
_symmetry_Int_Tables_number 166
_symmetry_space_group_name_Hall '-R 3 2"'
_cell_length_a 8.7503
_cell_length_b 8.7503
_cell_length_c 22.9197
_cell_angle_alpha 90.00
_cell_angle_beta 90.00
_cell_angle_gamma 120.00
loop_
_atom_site_label
_atom_site_type_symbol
_atom_site_fract_x
_atom_site_fract_y
_atom_site_fract_z
Nd1 Nd 0.0000 0.0000 0.2341
Nd2 Nd 0.0069 0.5034 0.2325
Ge1 Ge 0.0000 0.5000 0.5000
Pt1 Pt 0.0000 0.0000 0.5000
I1 I 0.0000 0.0000 0.0000
I2 I 0.0000 0.5000 0.0000
```

Output
The total moment comes out at 0.000 μB/atom. For the total energy, the calculation gives -241.525 eV per cell. The density is 6.80 g cm⁻³. The value obtained for the density of states at the Fermi level is 0.720 states/eV per atom.

Density functional theory data (PBE-GGA) for Y2NiAg after structural relaxation.

Structure (CIF):
```
data_Y2NiAg
_chemical_formula_sum 'Y8 Ni4 Ag4'
_symmetry_space_group_name_H-M 'F -4 3 m'
_symmetry_Int_Tables_number 216
_symmetry_space_group_name_Hall 'F -4 2 3'
_cell_length_a 6.876
_cell_length_b 6.876
_cell_length_c 6.876
_cell_angle_alpha 90.00
_cell_angle_beta 90.00
_cell_angle_gamma 90.00
loop_
_atom_site_label
_atom_site_type_symbol
_atom_site_fract_x
_atom_site_fract_y
_atom_site_fract_z
Y1 Y 0.000 0.000 0.000
Y2 Y 0.250 0.250 0.250
Ni1 Ni 0.250 0.250 0.750
Ag1 Ag 0.000 0.000 0.500
```

Output
The total moment comes out at 0.000 μB/atom. The calculation puts the energy of formation from the pure elements at -13 meV/atom. For the total energy, the calculation gives -86.451 eV per cell. The density is 7.04 g cm⁻³. The value obtained for the density of states at the Fermi level is 0.798 states/eV per atom.

Density functional theory data (PBE-GGA) for AlV3 after structural relaxation.

Structure (CIF):
```
data_AlV3
_chemical_formula_sum 'Al2 V6'
_symmetry_space_group_name_H-M 'I 4/m m m'
_symmetry_Int_Tables_number 139
_symmetry_space_group_name_Hall '-I 4 2'
_cell_length_a 3.644
_cell_length_b 3.644
_cell_length_c 8.425
_cell_angle_alpha 90.00
_cell_angle_beta 90.00
_cell_angle_gamma 90.00
loop_
_atom_site_label
_atom_site_type_symbol
_atom_site_fract_x
_atom_site_fract_y
_atom_site_fract_z
Al1 Al 0.000 0.000 0.000
V1 V 0.000 0.000 0.500
V2 V 0.000 0.500 0.250
```

Output
The total moment comes out at 0.000 μB/atom. The calculation puts the energy of formation from the pure elements at -58 meV/atom. For the total energy, the calculation gives -62.658 eV per cell. The density is 5.34 g cm⁻³. The value obtained for the density of states at the Fermi level is 1.720 states/eV per atom.

Density functional theory data (PBE-GGA) for KEuGeS4 after structural relaxation.

Structure (CIF):
```
data_KEuGeS4
_chemical_formula_sum 'K2 Eu2 Ge2 S8'
_symmetry_space_group_name_H-M 'P 1 21 1'
_symmetry_Int_Tables_number 4
_cell_length_a 6.918
_cell_length_b 6.183
_cell_length_c 9.042
_cell_angle_alpha 90.00
_cell_angle_beta 106.32
_cell_angle_gamma 90.00
loop_
_symmetry_equiv_pos_as_xyz
'x,y,z'
'-x,y+1/2,-z'
loop_
_atom_site_label
_atom_site_type_symbol
_atom_site_fract_x
_atom_site_fract_y
_atom_site_fract_z
K1 K 0.233 0.000 0.443
Eu1 Eu 0.257 0.001 0.943
Ge1 Ge 0.268 0.500 0.181
S1 S 0.077 0.500 0.337
S2 S 0.095 0.498 0.933
S3 S 0.499 0.736 0.778
S4 S 0.500 0.264 0.778
```

Output
The total moment comes out at 0.912 μB/atom. For the total energy, the calculation gives -80.215 eV per cell. The density is 3.51 g cm⁻³. The value obtained for the density of states at the Fermi level is 1.825 states/eV per atom.

Density functional theory data (PBE-GGA) for PN2F after structural relaxation.

Structure (CIF):
```
data_PN2F
_chemical_formula_sum 'P4 N8 F4'
_symmetry_space_group_name_H-M 'F m -3 m'
_symmetry_Int_Tables_number 225
_symmetry_space_group_name_Hall '-F 4 2 3'
_cell_length_a 5.060
_cell_length_b 5.060
_cell_length_c 5.060
_cell_angle_alpha 90.00
_cell_angle_beta 90.00
_cell_angle_gamma 90.00
loop_
_atom_site_label
_atom_site_type_symbol
_atom_site_fract_x
_atom_site_fract_y
_atom_site_fract_z
P1 P 0.000 0.000 0.000
N1 N 0.250 0.250 0.250
F1 F 0.000 0.000 0.500
```

Output
The total moment comes out at 0.000 μB/atom. For the total energy, the calculation gives -69.113 eV per cell. The density is 4.00 g cm⁻³. As for the energy relative to the lowest polymorph listed for this composition: 1422 meV per atom. The value obtained for the density of states at the Fermi level is 0.651 states/eV per atom.

Density functional theory data (PBE-GGA) for Ti8BiN2 after structural relaxation.

Structure (CIF):
```
data_Ti8BiN2
_chemical_formula_sum 'Ti16 Bi2 N4'
_symmetry_space_group_name_H-M 'I m m m'
_symmetry_Int_Tables_number 71
_symmetry_space_group_name_Hall '-I 2 2'
_cell_length_a 4.628
_cell_length_b 5.460
_cell_length_c 13.242
_cell_angle_alpha 90.00
_cell_angle_beta 90.00
_cell_angle_gamma 90.00
loop_
_atom_site_label
_atom_site_type_symbol
_atom_site_fract_x
_atom_site_fract_y
_atom_site_fract_z
Ti1 Ti 0.000 0.000 0.123
Ti2 Ti 0.000 0.239 0.398
Ti3 Ti 0.000 0.500 0.229
Bi1 Bi 0.000 0.500 0.000
N1 N 0.000 0.000 0.273
```

Output
The total moment comes out at 0.000 μB/atom. For the total energy, the calculation gives -175.449 eV per cell. The density is 6.15 g cm⁻³. The value obtained for the density of states at the Fermi level is 0.695 states/eV per atom.

Density functional theory data (PBE-GGA) for Re2SbMo after structural relaxation.

Structure (CIF):
```
data_Re2SbMo
_chemical_formula_sum 'Re4 Sb2 Mo2'
_symmetry_space_group_name_H-M 'I -4 m 2'
_symmetry_Int_Tables_number 119
_symmetry_space_group_name_Hall 'I -4 -2'
_cell_length_a 3.903
_cell_length_b 3.903
_cell_length_c 8.604
_cell_angle_alpha 90.00
_cell_angle_beta 90.00
_cell_angle_gamma 90.00
loop_
_atom_site_label
_atom_site_type_symbol
_atom_site_fract_x
_atom_site_fract_y
_atom_site_fract_z
Re1 Re 0.000 0.000 0.000
Re2 Re 0.000 0.500 0.250
Sb1 Sb 0.000 0.500 0.750
Mo1 Mo 0.000 0.000 0.500
```

Output
The total moment comes out at 0.000 μB/atom. For the total energy, the calculation gives -75.765 eV per cell. The density is 14.95 g cm⁻³. The value obtained for the density of states at the Fermi level is 1.087 states/eV per atom.

Density functional theory data (PBE-GGA) for TlFeRu2 after structural relaxation.

Structure (CIF):
```
data_TlFeRu2
_chemical_formula_sum 'Tl3 Fe3 Ru6'
_symmetry_space_group_name_H-M 'R -3 m'
_symmetry_Int_Tables_number 166
_symmetry_space_group_name_Hall '-R 3 2"'
_cell_length_a 2.9500
_cell_length_b 2.9500
_cell_length_c 25.5338
_cell_angle_alpha 90.00
_cell_angle_beta 90.00
_cell_angle_gamma 120.00
loop_
_atom_site_label
_atom_site_type_symbol
_atom_site_fract_x
_atom_site_fract_y
_atom_site_fract_z
Tl1 Tl 0.0000 0.0000 0.0000
Fe1 Fe 0.0000 0.0000 0.5000
Ru1 Ru 0.0000 0.0000 0.2401
```

Output
The total moment comes out at 0.924 μB/atom. The calculation puts the energy of formation from the pure elements at 554 meV/atom. For the total energy, the calculation gives -81.494 eV per cell. The density is 11.97 g cm⁻³. As for the energy relative to the lowest polymorph listed for this composition: 150 meV per atom. The value obtained for the density of states at the Fermi level is 0.987 states/eV per atom.